# Ru4Se3 | Alexandria via LeMat-Bulk | PBE | relaxed
# - E (eV for the cell shown) = -40.09
# - space-group type = P6/mmm, No. 191
# - E above lowest polymorph (eV per atom) = 0.927
data_Ru4Se3
_chemical_formula_sum 'Ru4 Se3'
_space_group_name_H-M_alt 'P 1'
_space_group_IT_number 1
_space_group_name_Hall 'P 1'
_cell_length_a 5.430
_cell_length_b 5.430
_cell_length_c 4.577
_cell_angle_alpha 90.00
_cell_angle_beta 90.00
_cell_angle_gamma 120.00
loop_
_atom_site_label
_atom_site_type_symbol
_atom_site_fract_x
_atom_site_fract_y
_atom_site_fract_z
_atom_site_occupancy
Ru1 Ru 0.000 0.000 0.243 1
Ru2 Ru 0.000 0.000 0.757 1
Ru3 Ru 0.333 0.667 0.000 1
Ru4 Ru 0.667 0.333 0.000 1
Se1 Se 0.000 0.500 0.500 1
Se2 Se 0.500 0.000 0.500 1
Se3 Se 0.500 0.500 0.500 1


# RuSe3 | Alexandria via LeMat-Bulk | PBE | relaxed
# - E (eV for the cell shown) = -19.19
# - space-group type = P4/mmm, No. 123
# - E above lowest polymorph (eV per atom) = 0.204
data_RuSe3
_chemical_formula_sum 'Ru1 Se3'
_space_group_name_H-M_alt 'P 1'
_space_group_IT_number 1
_space_group_name_Hall 'P 1'
_cell_length_a 2.930
_cell_length_b 2.930
_cell_length_c 9.721
_cell_angle_alpha 90.00
_cell_angle_beta 90.00
_cell_angle_gamma 90.00
loop_
_atom_site_label
_atom_site_type_symbol
_atom_site_fract_x
_atom_site_fract_y
_atom_site_fract_z
_atom_site_occupancy
Ru1 Ru 0.000 0.000 0.000 1
Se1 Se 0.000 0.000 0.500 1
Se2 Se 0.500 0.500 0.167 1
Se3 Se 0.500 0.500 0.833 1


# RuSe2 | Alexandria via LeMat-Bulk | PBE | relaxed
# - E (eV for the cell shown) = -16.70
# - space-group type = Fm-3m, No. 225
data_RuSe2
_chemical_formula_sum 'Ru1 Se2'
_space_group_name_H-M_alt 'P 1'
_space_group_IT_number 1
_space_group_name_Hall 'P 1'
_cell_length_a 4.291
_cell_length_b 4.291
_cell_length_c 4.291
_cell_angle_alpha 60.00
_cell_angle_beta 60.00
_cell_angle_gamma 60.00
loop_
_atom_site_label
_atom_site_type_symbol
_atom_site_fract_x
_atom_site_fract_y
_atom_site_fract_z
_atom_site_occupancy
Ru1 Ru 0.000 0.000 0.000 1
Se1 Se 0.250 0.250 0.250 1
Se2 Se 0.750 0.750 0.750 1


# RuSe3 | Alexandria via LeMat-Bulk | PBE | relaxed
# - E (eV for the cell shown) = -17.37
# - space-group type = I4/mmm, No. 139
# - E above lowest polymorph (eV per atom) = 0.659
data_RuSe3
_chemical_formula_sum 'Ru1 Se3'
_space_group_name_H-M_alt 'P 1'
_space_group_IT_number 1
_space_group_name_Hall 'P 1'
_cell_length_a 4.691
_cell_length_b 4.691
_cell_length_c 4.691
_cell_angle_alpha 122.68
_cell_angle_beta 122.68
_cell_angle_gamma 85.42
loop_
_atom_site_label
_atom_site_type_symbol
_atom_site_fract_x
_atom_site_fract_y
_atom_site_fract_z
_atom_site_occupancy
Ru1 Ru 0.000 0.000 0.000 1
Se1 Se 0.250 0.750 0.500 1
Se2 Se 0.500 0.500 0.000 1
Se3 Se 0.750 0.250 0.500 1